Compound: Y2TlAg2
Source: Alexandria via LeMat-Bulk
Functional: GGA-PBE
Structure: relaxed

Cell and atoms, written as CIF:
```
data_Y2TlAg2
_chemical_formula_sum 'Y2 Tl1 Ag2'
_cell_length_a 3.830
_cell_length_b 3.830
_cell_length_c 9.266
_cell_angle_alpha 78.07
_cell_angle_beta 78.07
_cell_angle_gamma 90.00
_space_group_name_H-M_alt 'P 1'
_space_group_IT_number 1
loop_
_space_group_symop_operation_xyz
'x,y,z'
loop_
_atom_site_label
_atom_site_type_symbol
_atom_site_fract_x
_atom_site_fract_y
_atom_site_fract_z
Y1 Y 0.609 0.609 0.782
Y2 Y 0.391 0.391 0.218
Tl1 Tl 0.000 0.000 0.000
Ag1 Ag 0.750 0.250 0.500
Ag2 Ag 0.250 0.750 0.500
```

Properties
The energy relative to the elements is -115 meV per atom. Its space-group type is I4/mmm (139).